# 1
Entry from the Alexandria database: La2DyAl2 after structural relaxation (PBE-GGA).

Output
Its space group is Immm. For the formation energy, the calculation gives -0.303 eV/atom.

Unit cell a=5.0419 b=5.8953 c=5.8953 alpha=72.20 beta=64.68 gamma=64.68
Closest atoms and distances in Å follow each position.
Positions (direct):
Al 0.5000 0.6981 0.3019  1 Al 2.75
Al 0.5000 0.3019 0.6981  1 Al 2.75
La 0.1952 0.3048 0.3048  1 La 3.16, 6 Al 3.24-3.28, 2 Dy 3.52
La 0.8048 0.6952 0.6952  1 La 3.16, 6 Al 3.24-3.28, 2 Dy 3.52
Dy 0.0000 0.0000 0.0000  4 Al 3.28, 4 La 3.52

---

# 2
Entry from the Alexandria database: La2Dy3Al after structural relaxation (PBE-GGA).

Output
Its space group is Cmmm. For the formation energy, the calculation gives -0.064 eV/atom.

Unit cell a=4.9163 b=4.8942 c=7.9058 alpha=108.03 beta=90.00 gamma=90.00
Closest atoms and distances in Å follow each position.
Positions (direct):
Dy 0.5000 0.1574 0.3148  4 Dy 3.40-3.71, 2 Al 3.41, 6 La 3.47-3.66
Dy 0.5000 0.8426 0.6852  4 Dy 3.40-3.71, 2 Al 3.41, 6 La 3.47-3.66
Dy 0.5000 0.5000 0.0000  4 Dy 3.40, 4 La 3.46, 4 Al 3.47
La 0.0000 0.3376 0.6752  2 Al 3.46, 8 Dy 3.46-3.66, 2 La 3.60
La 0.0000 0.6624 0.3248  2 Al 3.46, 8 Dy 3.46-3.66, 2 La 3.60
Al 0.0000 0.0000 0.0000  8 Dy 3.41-3.47, 4 La 3.46

---

# 3
Entry from the Alexandria database: LaDyAl6 after structural relaxation (PBE-GGA).

Output
Its space group is P-6m2. For the formation energy, the calculation gives -0.427 eV/atom.

Unit cell a=4.6530 b=6.4575 c=6.4575 alpha=119.96 beta=90.00 gamma=90.00
Closest atoms and distances in Å follow each position.
Positions (direct):
Al 0.5000 0.8935 0.5375  6 Al 2.79-2.82
Al 0.0000 0.0304 0.3901  6 Al 2.72-2.82
Al 0.5000 0.4625 0.1065  6 Al 2.79-2.82
Al 0.0000 0.6099 0.9696  6 Al 2.72-2.82
Al 0.5000 0.8939 0.1061  6 Al 2.79-2.82
Al 0.0000 0.6095 0.3905  6 Al 2.72-2.82
Dy 0.0000 0.0835 0.9165  12 Al 3.15-3.24
La 0.5000 0.4164 0.5836  12 Al 3.17-3.24